Density functional theory data (PBE-GGA) for a relaxed Cs3HfBr6 crystal.

Unit cell a=8.490 b=8.490 c=8.490 alpha=60.00 beta=60.00 gamma=60.00
Fractional coordinates of all 10 atoms:
Cs: 0.000 0.000 0.000
Cs: 0.250 0.250 0.250
Cs: 0.750 0.750 0.750
Hf: 0.500 0.500 0.500
Br: 0.278 0.278 0.722
Br: 0.278 0.722 0.278
Br: 0.278 0.722 0.722
Br: 0.722 0.278 0.278
Br: 0.722 0.278 0.722
Br: 0.722 0.722 0.278

Calculated values
The calculation puts the total energy at -3.784 eV per atom. The total magnetization is 1.00 μB/f.u. The calculation puts the volume at 432.79 Å³/f.u. As for the symmetry: No. 225.

Density functional theory data (PBE-GGA) for a relaxed Cs2HfI2Br4 crystal.

Unit cell a=7.876 b=7.876 c=7.876 alpha=117.02 beta=117.02 gamma=95.24
Fractional coordinates of all 9 atoms:
Cs: 0.250 0.750 0.500
Cs: 0.750 0.250 0.500
Hf: 0.000 0.000 0.000
I: 0.269 0.269 0.000
I: 0.731 0.731 0.000
Br: 0.225 0.225 0.451
Br: 0.225 0.775 0.000
Br: 0.775 0.225 0.000
Br: 0.775 0.775 0.549

Calculated values
The calculation puts the total energy at -3.908 eV per atom. The total magnetization is 0.00 μB/f.u. The calculation puts the volume at 359.39 Å³/f.u. As for the symmetry: No. 139.

Density functional theory data (PBE-GGA) for a relaxed Cs2RbHfBr6 crystal.

Unit cell a=8.299 b=8.299 c=8.299 alpha=60.00 beta=60.00 gamma=60.00
Fractional coordinates of all 10 atoms:
Cs: 0.250 0.250 0.250
Cs: 0.750 0.750 0.750
Rb: 0.000 0.000 0.000
Hf: 0.500 0.500 0.500
Br: 0.273 0.273 0.727
Br: 0.273 0.727 0.273
Br: 0.273 0.727 0.727
Br: 0.727 0.273 0.273
Br: 0.727 0.273 0.727
Br: 0.727 0.727 0.273

Calculated values
The calculation puts the total energy at -3.804 eV per atom. The total magnetization is 1.00 μB/f.u. The calculation puts the volume at 404.10 Å³/f.u. As for the symmetry: No. 225.

Density functional theory data (PBE-GGA) for a relaxed Cs2HfSnBr6 crystal.

Unit cell a=8.234 b=8.234 c=8.234 alpha=60.00 beta=60.00 gamma=60.00
Fractional coordinates of all 10 atoms:
Cs: 0.250 0.250 0.250
Cs: 0.750 0.750 0.750
Hf: 0.000 0.000 0.000
Sn: 0.500 0.500 0.500
Br: 0.229 0.229 0.771
Br: 0.229 0.771 0.229
Br: 0.229 0.771 0.771
Br: 0.771 0.229 0.229
Br: 0.771 0.229 0.771
Br: 0.771 0.771 0.229

Calculated values
The calculation puts the total energy at -3.752 eV per atom. The total magnetization is 1.99 μB/f.u. The calculation puts the volume at 394.74 Å³/f.u. As for the symmetry: No. 225.

Density functional theory data (PBE-GGA) for a relaxed Cs2HgBr4 crystal.

Unit cell a=7.655 b=7.891 c=10.520 alpha=90.00 beta=110.04 gamma=90.00
Fractional coordinates of all 14 atoms:
Cs: 0.197 0.000 0.412
Cs: 0.301 0.998 0.965
Cs: 0.699 0.498 0.035
Cs: 0.803 0.500 0.588
Hg: 0.305 0.501 0.223
Hg: 0.695 0.001 0.777
Br: 0.070 0.500 0.357
Br: 0.140 0.504 0.951
Br: 0.464 0.265 0.716
Br: 0.466 0.736 0.717
Br: 0.534 0.236 0.283
Br: 0.536 0.765 0.284
Br: 0.860 0.004 0.049
Br: 0.930 0.000 0.643

Calculated values
The calculation puts the total energy at -2.499 eV per atom. The calculation puts the volume at 298.52 Å³/f.u. As for the symmetry: No. 4.

Density functional theory data (PBE-GGA) for a relaxed Cs2HgBr4 crystal.

Unit cell a=8.021 b=7.872 c=10.237 alpha=90.00 beta=108.85 gamma=90.00
Fractional coordinates of all 14 atoms:
Cs: 0.214 0.250 0.050
Cs: 0.277 0.250 0.572
Cs: 0.723 0.750 0.428
Cs: 0.786 0.750 0.950
Hg: 0.220 0.750 0.794
Hg: 0.780 0.250 0.206
Br: 0.008 0.510 0.268
Br: 0.008 0.990 0.268
Br: 0.390 0.750 0.064
Br: 0.419 0.750 0.632
Br: 0.581 0.250 0.368
Br: 0.610 0.250 0.936
Br: 0.992 0.010 0.732
Br: 0.992 0.490 0.732

Calculated values
The calculation puts the total energy at -2.501 eV per atom. The calculation puts the volume at 305.85 Å³/f.u. As for the symmetry: No. 11.

Density functional theory data (PBE-GGA) for a relaxed Cs2HgBr4 crystal.

Unit cell a=10.767 b=7.807 c=16.558 alpha=90.00 beta=119.29 gamma=90.00
Fractional coordinates of all 28 atoms:
Cs: 0.063 0.250 0.399
Cs: 0.063 0.250 0.899
Cs: 0.436 0.749 0.337
Cs: 0.436 0.751 0.837
Cs: 0.564 0.249 0.163
Cs: 0.564 0.251 0.663
Cs: 0.937 0.750 0.101
Cs: 0.937 0.750 0.601
Hg: 0.304 0.748 0.041
Hg: 0.304 0.752 0.541
Hg: 0.696 0.248 0.459
Hg: 0.696 0.252 0.959
Br: 0.117 0.749 0.860
Br: 0.117 0.751 0.360
Br: 0.243 0.014 0.622
Br: 0.243 0.486 0.122
Br: 0.244 0.010 0.122
Br: 0.244 0.490 0.622
Br: 0.422 0.249 0.411
Br: 0.422 0.251 0.911
Br: 0.578 0.749 0.089
Br: 0.578 0.751 0.589
Br: 0.756 0.510 0.378
Br: 0.756 0.990 0.878
Br: 0.757 0.514 0.878
Br: 0.757 0.986 0.378
Br: 0.883 0.249 0.640
Br: 0.883 0.251 0.140

Calculated values
The calculation puts the total energy at -2.499 eV per atom. The calculation puts the volume at 303.45 Å³/f.u. As for the symmetry: No. 14.

Density functional theory data (PBE-GGA) for a relaxed CsHgBr crystal.

Unit cell a=6.110 b=6.110 c=11.356 alpha=90.00 beta=90.00 gamma=120.00
Fractional coordinates of all 9 atoms:
Cs: 0.000 0.000 0.000
Cs: 0.000 0.000 0.371
Cs: 0.667 0.333 0.687
Hg: 0.333 0.667 0.189
Hg: 0.333 0.667 0.524
Hg: 0.333 0.667 0.848
Br: 0.000 0.000 0.686
Br: 0.667 0.333 0.005
Br: 0.667 0.333 0.370

Calculated values
The calculation puts the total energy at -2.009 eV per atom. The calculation puts the volume at 122.40 Å³/f.u. As for the symmetry: No. 156.

Density functional theory data (PBE-GGA) for a relaxed Cs2HgBr4 crystal.

Unit cell a=10.447 b=7.963 c=14.178 alpha=90.00 beta=90.00 gamma=90.00
Fractional coordinates of all 28 atoms:
Cs: 0.018 0.250 0.167
Cs: 0.114 0.750 0.418
Cs: 0.386 0.250 0.918
Cs: 0.482 0.750 0.667
Cs: 0.518 0.250 0.333
Cs: 0.614 0.750 0.082
Cs: 0.886 0.250 0.582
Cs: 0.982 0.750 0.833
Hg: 0.219 0.750 0.077
Hg: 0.281 0.250 0.577
Hg: 0.719 0.750 0.423
Hg: 0.781 0.250 0.923
Br: 0.031 0.250 0.903
Br: 0.172 0.520 0.653
Br: 0.172 0.980 0.653
Br: 0.180 0.250 0.403
Br: 0.320 0.750 0.903
Br: 0.328 0.020 0.153
Br: 0.328 0.480 0.153
Br: 0.469 0.750 0.403
Br: 0.531 0.250 0.597
Br: 0.672 0.520 0.847
Br: 0.672 0.980 0.847
Br: 0.680 0.250 0.097
Br: 0.820 0.750 0.597
Br: 0.828 0.020 0.347
Br: 0.828 0.480 0.347
Br: 0.969 0.750 0.097

Calculated values
The calculation puts the total energy at -2.494 eV per atom. The calculation puts the volume at 294.87 Å³/f.u. As for the symmetry: No. 62.

Density functional theory data (PBE-GGA) for a relaxed Cs2NaHgBr6 crystal.

Unit cell a=8.043 b=8.043 c=8.043 alpha=120.05 beta=120.05 gamma=89.91
Fractional coordinates of all 10 atoms:
Cs: 0.250 0.750 0.500
Cs: 0.750 0.250 0.500
Na: 0.000 0.000 0.000
Hg: 0.500 0.500 0.000
Br: 0.248 0.737 0.985
Br: 0.255 0.255 0.000
Br: 0.263 0.248 0.511
Br: 0.737 0.752 0.489
Br: 0.745 0.745 0.000
Br: 0.752 0.263 0.015

Calculated values
The calculation puts the total energy at -2.431 eV per atom. The calculation puts the volume at 367.55 Å³/f.u. As for the symmetry: No. 87.